# 1
# Sn2RhCSe PBE relaxed
data_Sn2RhCSe
_chemical_formula_sum 'Sn2 Rh1 C1 Se1'
_space_group_name_H-M_alt 'P 1'
_space_group_IT_number 1
_space_group_name_Hall 'P 1'
_cell_length_a 5.462
_cell_length_b 5.462
_cell_length_c 3.676
_cell_angle_alpha 90.00
_cell_angle_beta 90.00
_cell_angle_gamma 90.00
loop_
_atom_site_label
_atom_site_type_symbol
_atom_site_fract_x
_atom_site_fract_y
_atom_site_fract_z
Sn1 Sn 0.000 0.500 0.000
Sn2 Sn 0.500 0.000 0.000
Rh1 Rh 0.000 0.000 0.500
C1 C 0.500 0.500 0.500
Se1 Se 0.500 0.500 0.000
# SG   No. 123
# Raw formation energy   1.360 eV/atom
# Fermi-level density of states   3.35 states/eV/f.u.
# Crystal system   tetragonal
# E_tot   -21.26 eV per cell
# Total moment   0.0000 μB/atom


# 2
# LaSc4Tl5 PBE relaxed
data_LaSc4Tl5
_chemical_formula_sum 'La1 Sc4 Tl5'
_space_group_name_H-M_alt 'P 1'
_space_group_IT_number 1
_space_group_name_Hall 'P 1'
_cell_length_a 3.633
_cell_length_b 3.633
_cell_length_c 18.862
_cell_angle_alpha 90.00
_cell_angle_beta 90.00
_cell_angle_gamma 90.00
loop_
_atom_site_label
_atom_site_type_symbol
_atom_site_fract_x
_atom_site_fract_y
_atom_site_fract_z
La1 La 0.000 0.000 0.000
Sc1 Sc 0.000 0.000 0.216
Sc2 Sc 0.000 0.000 0.405
Sc3 Sc 0.000 0.000 0.595
Sc4 Sc 0.000 0.000 0.784
Tl1 Tl 0.500 0.500 0.120
Tl2 Tl 0.500 0.500 0.311
Tl3 Tl 0.500 0.500 0.500
Tl4 Tl 0.500 0.500 0.689
Tl5 Tl 0.500 0.500 0.880
# SG   No. 123
# Fermi-level density of states   8.21 states/eV/f.u.
# Crystal system   tetragonal
# Energy of formation   -292 meV per atom
# E_tot   -45.01 eV per cell
# Total moment   0.0000 μB/atom


# 3
# Li2BiBr5 PBE relaxed
data_Li2BiBr5
_chemical_formula_sum 'Li2 Bi1 Br5'
_space_group_name_H-M_alt 'P 1'
_space_group_IT_number 1
_space_group_name_Hall 'P 1'
_cell_length_a 5.801
_cell_length_b 7.013
_cell_length_c 7.278
_cell_angle_alpha 84.87
_cell_angle_beta 66.56
_cell_angle_gamma 65.80
loop_
_atom_site_label
_atom_site_type_symbol
_atom_site_fract_x
_atom_site_fract_y
_atom_site_fract_z
Li1 Li 0.000 0.000 0.000
Li2 Li 0.301 0.437 0.116
Bi1 Bi 0.652 0.219 0.557
Br1 Br 0.152 0.220 0.555
Br2 Br 0.346 0.616 0.786
Br3 Br 0.550 0.045 0.941
Br4 Br 0.754 0.392 0.173
Br5 Br 0.957 0.821 0.329
# SG   No. 1
# Raw formation energy   -1.083 eV/atom
# Fermi-level density of states   0.00 states/eV/f.u.
# Crystal system   triclinic
# E_tot   -24.74 eV per cell
# Total moment   0.0000 μB/atom


# 4
# Na2YSbO4 PBE relaxed
data_Na2YSbO4
_chemical_formula_sum 'Na2 Y1 Sb1 O4'
_space_group_name_H-M_alt 'P 1'
_space_group_IT_number 1
_space_group_name_Hall 'P 1'
_cell_length_a 5.948
_cell_length_b 3.440
_cell_length_c 5.985
_cell_angle_alpha 90.00
_cell_angle_beta 109.34
_cell_angle_gamma 90.00
loop_
_atom_site_label
_atom_site_type_symbol
_atom_site_fract_x
_atom_site_fract_y
_atom_site_fract_z
Na1 Na 0.000 0.000 0.000
Na2 Na 0.000 0.500 0.500
Y1 Y 0.500 0.000 0.500
Sb1 Sb 0.500 0.500 0.000
O1 O 0.279 0.000 0.752
O2 O 0.287 0.500 0.267
O3 O 0.713 0.500 0.733
O4 O 0.721 0.000 0.248
# SG   No. 10
# Raw formation energy   -2.025 eV/atom
# Crystal system   monoclinic
# E_tot   -49.26 eV per cell
# Total moment   0.0000 μB/atom


# 5
# Li2CeAlS4 PBE relaxed
data_Li2CeAlS4
_chemical_formula_sum 'Li4 Ce2 Al2 S8'
_space_group_name_H-M_alt 'P 1'
_space_group_IT_number 1
_space_group_name_Hall 'P 1'
_cell_length_a 8.814
_cell_length_b 6.821
_cell_length_c 6.044
_cell_angle_alpha 90.00
_cell_angle_beta 90.00
_cell_angle_gamma 90.00
loop_
_atom_site_label
_atom_site_type_symbol
_atom_site_fract_x
_atom_site_fract_y
_atom_site_fract_z
Li1 Li 0.248 0.172 0.000
Li2 Li 0.252 0.828 0.500
Li3 Li 0.748 0.828 0.500
Li4 Li 0.752 0.172 0.000
Ce1 Ce 0.000 0.320 0.468
Ce2 Ce 0.500 0.680 0.968
Al1 Al 0.000 0.681 0.022
Al2 Al 0.500 0.319 0.522
S1 S 0.000 0.351 0.951
S2 S 0.000 0.715 0.395
S3 S 0.214 0.827 0.901
S4 S 0.286 0.173 0.401
S5 S 0.500 0.285 0.895
S6 S 0.500 0.649 0.451
S7 S 0.714 0.173 0.401
S8 S 0.786 0.827 0.901
# SG   No. 31
# Raw formation energy   -1.424 eV/atom
# Fermi-level density of states   6.01 states/eV/f.u.
# Crystal system   orthorhombic
# E_tot   -82.81 eV per cell
# Total moment   0.1250 μB/atom


# 6
# BaLa4Mo PBE relaxed
data_BaLa4Mo
_chemical_formula_sum 'Ba1 La4 Mo1'
_space_group_name_H-M_alt 'P 1'
_space_group_IT_number 1
_space_group_name_Hall 'P 1'
_cell_length_a 6.679
_cell_length_b 6.679
_cell_length_c 6.679
_cell_angle_alpha 60.00
_cell_angle_beta 60.00
_cell_angle_gamma 60.00
loop_
_atom_site_label
_atom_site_type_symbol
_atom_site_fract_x
_atom_site_fract_y
_atom_site_fract_z
Ba1 Ba 0.000 0.000 0.000
La1 La 0.140 0.620 0.620
La2 La 0.620 0.140 0.620
La3 La 0.620 0.620 0.140
La4 La 0.620 0.620 0.620
Mo1 Mo 0.250 0.250 0.250
# SG   No. 216
# Fermi-level density of states   10.37 states/eV/f.u.
# Crystal system   cubic
# Energy of formation   791 meV per atom
# E_tot   -27.72 eV per cell
# Total moment   0.5269 μB/atom


# 7
# CeDyEr2 PBE relaxed
data_CeDyEr2
_chemical_formula_sum 'Ce1 Dy1 Er2'
_space_group_name_H-M_alt 'P 1'
_space_group_IT_number 1
_space_group_name_Hall 'P 1'
_cell_length_a 3.507
_cell_length_b 3.507
_cell_length_c 9.932
_cell_angle_alpha 90.00
_cell_angle_beta 90.00
_cell_angle_gamma 90.00
loop_
_atom_site_label
_atom_site_type_symbol
_atom_site_fract_x
_atom_site_fract_y
_atom_site_fract_z
Ce1 Ce 0.000 0.000 0.000
Dy1 Dy 0.000 0.000 0.500
Er1 Er 0.500 0.500 0.246
Er2 Er 0.500 0.500 0.754
# SG   No. 123
# Fermi-level density of states   7.84 states/eV/f.u.
# Crystal system   tetragonal
# Energy of formation   62 meV per atom
# E_tot   -19.42 eV per cell
# Total moment   0.1656 μB/atom


# 8
# Ac4Ag2Pd5 PBE relaxed
data_Ac4Ag2Pd5
_chemical_formula_sum 'Ac4 Ag2 Pd5'
_space_group_name_H-M_alt 'P 1'
_space_group_IT_number 1
_space_group_name_Hall 'P 1'
_cell_length_a 7.709
_cell_length_b 4.196
_cell_length_c 8.770
_cell_angle_alpha 90.00
_cell_angle_beta 90.55
_cell_angle_gamma 90.00
loop_
_atom_site_label
_atom_site_type_symbol
_atom_site_fract_x
_atom_site_fract_y
_atom_site_fract_z
Ac1 Ac 0.230 0.000 0.366
Ac2 Ac 0.255 0.000 0.882
Ac3 Ac 0.745 0.000 0.118
Ac4 Ac 0.770 0.000 0.634
Ag1 Ag 0.412 0.500 0.634
Ag2 Ag 0.588 0.500 0.366
Pd1 Pd 0.000 0.500 0.000
Pd2 Pd 0.052 0.500 0.664
Pd3 Pd 0.360 0.500 0.119
Pd4 Pd 0.640 0.500 0.881
Pd5 Pd 0.948 0.500 0.336
# SG   No. 10
# Fermi-level density of states   4.04 states/eV/f.u.
# Crystal system   monoclinic
# Energy of formation   -671 meV per atom
# E_tot   -55.48 eV per cell
# Total moment   0.0000 μB/atom


# 9
# YGaHgS2 PBE relaxed
data_YGaHgS2
_chemical_formula_sum 'Y1 Ga1 Hg1 S2'
_space_group_name_H-M_alt 'P 1'
_space_group_IT_number 1
_space_group_name_Hall 'P 1'
_cell_length_a 4.994
_cell_length_b 4.994
_cell_length_c 5.678
_cell_angle_alpha 90.00
_cell_angle_beta 90.00
_cell_angle_gamma 90.00
loop_
_atom_site_label
_atom_site_type_symbol
_atom_site_fract_x
_atom_site_fract_y
_atom_site_fract_z
Y1 Y 0.000 0.000 0.000
Ga1 Ga 0.500 0.500 0.000
Hg1 Hg 0.000 0.000 0.500
S1 S 0.000 0.500 0.500
S2 S 0.500 0.000 0.500
# SG   No. 123
# Raw formation energy   0.426 eV/atom
# Fermi-level density of states   2.83 states/eV/f.u.
# Crystal system   tetragonal
# E_tot   -15.92 eV per cell
# Total moment   0.0000 μB/atom


# 10
# ErSc2Ni9 PBE relaxed
data_ErSc2Ni9
_chemical_formula_sum 'Er1 Sc2 Ni9'
_space_group_name_H-M_alt 'P 1'
_space_group_IT_number 1
_space_group_name_Hall 'P 1'
_cell_length_a 8.412
_cell_length_b 8.412
_cell_length_c 8.412
_cell_angle_alpha 33.63
_cell_angle_beta 33.63
_cell_angle_gamma 33.63
loop_
_atom_site_label
_atom_site_type_symbol
_atom_site_fract_x
_atom_site_fract_y
_atom_site_fract_z
Er1 Er 0.000 0.000 0.000
Sc1 Sc 0.141 0.141 0.141
Sc2 Sc 0.859 0.859 0.859
Ni1 Ni 0.082 0.586 0.586
Ni2 Ni 0.333 0.333 0.333
Ni3 Ni 0.414 0.414 0.918
Ni4 Ni 0.414 0.918 0.414
Ni5 Ni 0.500 0.500 0.500
Ni6 Ni 0.586 0.082 0.586
Ni7 Ni 0.586 0.586 0.082
Ni8 Ni 0.667 0.667 0.667
Ni9 Ni 0.918 0.414 0.414
# SG   No. 166
# Fermi-level density of states   16.41 states/eV/f.u.
# Crystal system   trigonal
# Energy of formation   -456 meV per atom
# E_tot   -74.73 eV per cell
# Total moment   0.0278 μB/atom


# 11
# LaNd3Bi2 PBE relaxed
data_LaNd3Bi2
_chemical_formula_sum 'La2 Nd6 Bi4'
_space_group_name_H-M_alt 'P 1'
_space_group_IT_number 1
_space_group_name_Hall 'P 1'
_cell_length_a 9.942
_cell_length_b 9.942
_cell_length_c 10.285
_cell_angle_alpha 114.77
_cell_angle_beta 114.77
_cell_angle_gamma 26.41
loop_
_atom_site_label
_atom_site_type_symbol
_atom_site_fract_x
_atom_site_fract_y
_atom_site_fract_z
La1 La 0.112 0.112 0.121
La2 La 0.888 0.888 0.879
Nd1 Nd 0.057 0.057 0.671
Nd2 Nd 0.311 0.311 0.111
Nd3 Nd 0.356 0.356 0.527
Nd4 Nd 0.644 0.644 0.473
Nd5 Nd 0.689 0.689 0.889
Nd6 Nd 0.943 0.943 0.329
Bi1 Bi 0.247 0.247 0.716
Bi2 Bi 0.490 0.490 0.156
Bi3 Bi 0.510 0.510 0.844
Bi4 Bi 0.753 0.753 0.284
# SG   No. 12
# Fermi-level density of states   7.79 states/eV/f.u.
# Crystal system   monoclinic
# Energy of formation   -586 meV per atom
# E_tot   -61.02 eV per cell
# Total moment   0.0100 μB/atom


# 12
# Be2AlBiIr PBE relaxed
data_Be2AlBiIr
_chemical_formula_sum 'Be2 Al1 Bi1 Ir1'
_space_group_name_H-M_alt 'P 1'
_space_group_IT_number 1
_space_group_name_Hall 'P 1'
_cell_length_a 4.471
_cell_length_b 4.471
_cell_length_c 5.358
_cell_angle_alpha 90.00
_cell_angle_beta 90.00
_cell_angle_gamma 90.00
loop_
_atom_site_label
_atom_site_type_symbol
_atom_site_fract_x
_atom_site_fract_y
_atom_site_fract_z
Be1 Be 0.000 0.500 0.000
Be2 Be 0.500 0.000 0.000
Al1 Al 0.000 0.000 0.500
Bi1 Bi 0.500 0.500 0.000
Ir1 Ir 0.500 0.500 0.500
# SG   No. 123
# Fermi-level density of states   3.52 states/eV/f.u.
# Crystal system   tetragonal
# Energy of formation   1504 meV per atom
# E_tot   -16.42 eV per cell
# Total moment   0.0000 μB/atom